VASP calculation (PBE-GGA) on crystalline Y4TlPbO at its relaxed geometry.

Lattice parameters (Å, degrees): 9.1312 9.1312 6.4934 90.00 90.00 138.27
Sites, in units of the cell vectors:
Y1 0.0000 0.5000 0.0000
Y2 0.0000 0.5000 0.5000
Y3 0.0677 0.9323 0.7500
Y4 0.4171 0.5829 0.7500
Y5 0.5000 0.0000 0.0000
Y6 0.5000 0.0000 0.5000
Y7 0.5829 0.4171 0.2500
Y8 0.9323 0.0677 0.2500
Tl1 0.1131 0.8869 0.2500
Tl2 0.8869 0.1131 0.7500
Pb1 0.3912 0.6088 0.2500
Pb2 0.6088 0.3912 0.7500
O1 0.2749 0.7251 0.7500
O2 0.7251 0.2749 0.2500

## Properties
The volume comes out at 25.74 A^3/atom. For the formation energy without anion corrections, the calculation gives -1140 meV per atom. For the total moment, the calculation gives 0.00 μB per atom. Its uncorrected energy is -6.41 eV/atom. The symmetry is Cmcm, No. 63.

---

VASP calculation (PBE-GGA) on crystalline TlZnPbO4 at its relaxed geometry.

Lattice parameters (Å, degrees): 6.6855 6.6855 6.6855 120.24 119.81 89.96
Sites, in units of the cell vectors:
Tl1 0.5000 0.0000 0.0000
Tl2 0.5000 0.5000 0.5000
Zn1 0.1261 0.3761 0.7500
Zn2 0.8739 0.6239 0.2500
Pb1 0.0000 0.0000 0.0000
Pb2 0.5000 0.0000 0.5000
O1 0.2517 0.2493 0.4976
O2 0.2517 0.7541 0.0024
O3 0.2536 0.2482 0.0054
O4 0.2572 0.7518 0.5054
O5 0.7428 0.2482 0.4946
O6 0.7464 0.7518 0.9946
O7 0.7483 0.2459 0.9976
O8 0.7483 0.7507 0.5024

## Properties
The volume comes out at 15.09 A^3/atom. For the formation energy without anion corrections, the calculation gives -874 meV per atom. For the total moment, the calculation gives 0.00 μB per atom. Its uncorrected energy is -4.76 eV/atom. The symmetry is Imma, No. 74.

---

VASP calculation (PBE-GGA) on crystalline TlZnPb2O6 at its relaxed geometry.

Lattice parameters (Å, degrees): 6.0336 6.0336 6.0336 56.58 56.58 56.58
Sites, in units of the cell vectors:
Tl1 0.0000 0.0000 0.0000
Zn1 0.4944 0.4944 0.4944
Pb1 0.2756 0.2756 0.2756
Pb2 0.7830 0.7830 0.7830
O1 0.0965 0.6726 0.3955
O2 0.1956 0.5904 0.8649
O3 0.3955 0.0965 0.6726
O4 0.5904 0.8649 0.1956
O5 0.6726 0.3955 0.0965
O6 0.8649 0.1956 0.5904

## Properties
The volume comes out at 14.30 A^3/atom. For the formation energy without anion corrections, the calculation gives -900 meV per atom. For the total moment, the calculation gives 0.00 μB per atom. Its uncorrected energy is -4.98 eV/atom. The symmetry is R3, No. 146.

---

VASP calculation (PBE-GGA) on crystalline Tm3Pb2O2 at its relaxed geometry.

Lattice parameters (Å, degrees): 6.4487 6.4487 7.7638 116.84 116.84 32.77
Sites, in units of the cell vectors:
Tm1 0.0000 0.0000 0.0000
Tm2 0.2009 0.2009 0.7857
Tm3 0.7991 0.7991 0.2143
Pb1 0.4231 0.4231 0.6185
Pb2 0.5769 0.5769 0.3815
O1 0.1959 0.1959 0.0719
O2 0.8041 0.8041 0.9281

## Properties
The volume comes out at 22.03 A^3/atom. For the formation energy without anion corrections, the calculation gives -1945 meV per atom. For the total moment, the calculation gives 0.00 μB per atom. Its uncorrected energy is -6.34 eV/atom. The symmetry is C2/m, No. 12.

---

VASP calculation (PBE-GGA) on crystalline Tm6PbO12 at its relaxed geometry.

Lattice parameters (Å, degrees): 6.4835 6.4835 6.4835 99.41 99.41 99.41
Sites, in units of the cell vectors:
Tm1 0.1077 0.6395 0.8029
Tm2 0.1971 0.8923 0.3605
Tm3 0.3605 0.1971 0.8923
Tm4 0.6395 0.8029 0.1077
Tm5 0.8029 0.1077 0.6395
Tm6 0.8923 0.3605 0.1971
Pb1 0.5000 0.5000 0.5000
O1 0.0655 0.3210 0.9202
O2 0.0798 0.9345 0.6790
O3 0.1770 0.5613 0.4326
O4 0.3210 0.9202 0.0655
O5 0.4326 0.1770 0.5613
O6 0.4387 0.5674 0.8230
O7 0.5613 0.4326 0.1770
O8 0.5674 0.8230 0.4387
O9 0.6790 0.0798 0.9345
O10 0.8230 0.4387 0.5674
O11 0.9202 0.0655 0.3210
O12 0.9345 0.6790 0.0798

## Properties
The volume comes out at 13.69 A^3/atom. For the formation energy without anion corrections, the calculation gives -2970 meV per atom. For the total moment, the calculation gives 0.11 μB per atom. Its uncorrected energy is -7.71 eV/atom. The symmetry is R-3, No. 148.

---

VASP calculation (PBE-GGA) on crystalline Tm2Pb2O at its relaxed geometry.

Lattice parameters (Å, degrees): 8.4142 8.4142 8.2914 90.00 90.00 155.05
Sites, in units of the cell vectors:
Tm1 0.0387 0.9613 0.5000
Tm2 0.3730 0.6270 0.3234
Tm3 0.6270 0.3730 0.8234
Tm4 0.9613 0.0387 0.0000
Pb1 0.2729 0.7271 0.9923
Pb2 0.3925 0.6075 0.6916
Pb3 0.6075 0.3925 0.1916
Pb4 0.7271 0.2729 0.4923
O1 0.0644 0.9356 0.7639
O2 0.9356 0.0644 0.2639

## Properties
The volume comes out at 24.76 A^3/atom. For the formation energy without anion corrections, the calculation gives -1287 meV per atom. For the total moment, the calculation gives 0.00 μB per atom. Its uncorrected energy is -5.55 eV/atom. The symmetry is Cmc2_1, No. 36.

---

VASP calculation (PBE-GGA) on crystalline Tm3PbO7 at its relaxed geometry.

Lattice parameters (Å, degrees): 6.5601 6.5601 7.4873 90.00 90.00 111.05
Sites, in units of the cell vectors:
Tm1 0.0000 0.0000 0.0000
Tm2 0.0000 0.0000 0.5000
Tm3 0.0290 0.4924 0.7500
Tm4 0.4924 0.0290 0.2500
Tm5 0.5076 0.9710 0.7500
Tm6 0.9710 0.5076 0.2500
Pb1 0.5000 0.5000 0.0000
Pb2 0.5000 0.5000 0.5000
O1 0.1284 0.8716 0.7500
O2 0.1329 0.8671 0.2500
O3 0.1479 0.4006 0.0355
O4 0.1479 0.4006 0.4645
O5 0.3963 0.6037 0.7500
O6 0.4006 0.1479 0.5355
O7 0.4006 0.1479 0.9645
O8 0.5994 0.8521 0.0355
O9 0.5994 0.8521 0.4645
O10 0.6037 0.3963 0.2500
O11 0.8521 0.5994 0.5355
O12 0.8521 0.5994 0.9645
O13 0.8671 0.1329 0.7500
O14 0.8716 0.1284 0.2500

## Properties
The volume comes out at 13.67 A^3/atom. For the formation energy without anion corrections, the calculation gives -2655 meV per atom. For the total moment, the calculation gives 0.09 μB per atom. Its uncorrected energy is -7.37 eV/atom. The symmetry is Cmcm, No. 63.

---

VASP calculation (PBE-GGA) on crystalline TmPbO at its relaxed geometry.

Lattice parameters (Å, degrees): 9.7351 6.4040 6.4522 90.00 90.00 90.00
Sites, in units of the cell vectors:
Tm1 0.0000 0.1636 0.0000
Tm2 0.1821 0.6277 0.8322
Tm3 0.3179 0.3723 0.3322
Tm4 0.5000 0.8364 0.5000
Tm5 0.6821 0.3723 0.3322
Tm6 0.8179 0.6277 0.8322
Pb1 0.0000 0.3625 0.5231
Pb2 0.1564 0.9481 0.4280
Pb3 0.3436 0.0519 0.9280
Pb4 0.5000 0.6375 0.0231
Pb5 0.6564 0.0519 0.9280
Pb6 0.8436 0.9481 0.4280
O1 0.0000 0.8183 0.8993
O2 0.1666 0.3890 0.0583
O3 0.3334 0.6110 0.5583
O4 0.5000 0.1817 0.3993
O5 0.6666 0.6110 0.5583
O6 0.8334 0.3890 0.0583

## Properties
The volume comes out at 22.35 A^3/atom. For the formation energy without anion corrections, the calculation gives -1775 meV per atom. For the total moment, the calculation gives 0.00 μB per atom. Its uncorrected energy is -6.15 eV/atom. The symmetry is Pmn2_1, No. 31.

---

VASP calculation (PBE-GGA) on crystalline Tm2Pb2O7 at its relaxed geometry.

Lattice parameters (Å, degrees): 7.5525 7.5525 7.5525 60.00 60.00 60.00
Sites, in units of the cell vectors:
Tm1 0.0000 0.0000 0.0000
Tm2 0.0000 0.0000 0.5000
Tm3 0.0000 0.5000 0.0000
Tm4 0.5000 0.0000 0.0000
Pb1 0.0000 0.5000 0.5000
Pb2 0.5000 0.0000 0.5000
Pb3 0.5000 0.5000 0.0000
Pb4 0.5000 0.5000 0.5000
O1 0.1250 0.1250 0.1250
O2 0.1480 0.1480 0.6020
O3 0.1480 0.6020 0.1480
O4 0.1480 0.6020 0.6020
O5 0.3980 0.3980 0.8520
O6 0.3980 0.8520 0.3980
O7 0.3980 0.8520 0.8520
O8 0.6020 0.1480 0.1480
O9 0.6020 0.1480 0.6020
O10 0.6020 0.6020 0.1480
O11 0.8520 0.3980 0.3980
O12 0.8520 0.3980 0.8520
O13 0.8520 0.8520 0.3980
O14 0.8750 0.8750 0.8750

## Properties
The volume comes out at 13.85 A^3/atom. For the formation energy without anion corrections, the calculation gives -2105 meV per atom. For the total moment, the calculation gives 0.00 μB per atom. Its uncorrected energy is -6.75 eV/atom. The symmetry is Fd-3m, No. 227.

---

VASP calculation (PBE-GGA) on crystalline Tm2PbO at its relaxed geometry.

Lattice parameters (Å, degrees): 3.1558 3.1558 7.8017 90.00 90.00 90.00
Sites, in units of the cell vectors:
Tm1 0.0000 0.0000 0.1967
Tm2 0.0000 0.0000 0.8033
Pb1 0.5000 0.5000 0.5000
O1 0.5000 0.5000 0.0000

## Properties
The volume comes out at 19.42 A^3/atom. For the formation energy without anion corrections, the calculation gives -973 meV per atom. The calculation puts the energy above the most stable polymorph in this dataset at 0.804 eV per atom. For the total moment, the calculation gives 0.00 μB per atom. Its uncorrected energy is -5.38 eV/atom. The symmetry is P4/mmm, No. 123.

---

VASP calculation (PBE-GGA) on crystalline Tm4Pb3O at its relaxed geometry.

Lattice parameters (Å, degrees): 7.6970 9.7009 6.2759 90.00 90.00 90.00
Sites, in units of the cell vectors:
Tm1 0.0000 0.0469 0.0000
Tm2 0.0000 0.8009 0.4100
Tm3 0.2328 0.6886 0.9669
Tm4 0.2672 0.3114 0.4669
Tm5 0.5000 0.1991 0.9100
Tm6 0.5000 0.9531 0.5000
Tm7 0.7328 0.3114 0.4669
Tm8 0.7672 0.6886 0.9669
Pb1 0.0000 0.0878 0.5139
Pb2 0.1932 0.3696 0.9788
Pb3 0.3068 0.6304 0.4788
Pb4 0.5000 0.9122 0.0139
Pb5 0.6932 0.6304 0.4788
Pb6 0.8068 0.3696 0.9788
O1 0.0000 0.8060 0.0551
O2 0.5000 0.1940 0.5551

## Properties
The volume comes out at 29.29 A^3/atom. For the formation energy without anion corrections, the calculation gives -812 meV per atom. For the total moment, the calculation gives 0.00 μB per atom. Its uncorrected energy is -5.06 eV/atom. The symmetry is Pmn2_1, No. 31.

---

VASP calculation (PBE-GGA) on crystalline Tm12Pb3O5 at its relaxed geometry.

Lattice parameters (Å, degrees): 13.3776 13.3776 13.3776 109.47 109.47 109.47
Sites, in units of the cell vectors:
Tm1 0.0045 0.1940 0.1043
Tm2 0.0045 0.3105 0.9001
Tm3 0.0897 0.6940 0.6895
Tm4 0.0897 0.8957 0.4001
Tm5 0.0999 0.6043 0.4103
Tm6 0.0999 0.9955 0.6895
Tm7 0.1043 0.0045 0.1940
Tm8 0.1043 0.5999 0.9103
Tm9 0.1895 0.1940 0.5897
Tm10 0.1895 0.4955 0.5999
Tm11 0.1940 0.1043 0.0045
Tm12 0.1940 0.5897 0.1895
Tm13 0.3060 0.3105 0.9103
Tm14 0.3060 0.4955 0.3957
Tm15 0.3105 0.9001 0.0045
Tm16 0.3105 0.9103 0.3060
Tm17 0.3957 0.3060 0.4955
Tm18 0.3957 0.5897 0.9001
Tm19 0.4001 0.0897 0.8957
Tm20 0.4001 0.8105 0.5045
Tm21 0.4103 0.0999 0.6043
Tm22 0.4103 0.8105 0.8060
Tm23 0.4955 0.3957 0.3060
Tm24 0.4955 0.5999 0.1895
Tm25 0.5045 0.4001 0.8105
Tm26 0.5045 0.6043 0.6940
Tm27 0.5897 0.1895 0.1940
Tm28 0.5897 0.9001 0.3957
Tm29 0.5999 0.1895 0.4955
Tm30 0.5999 0.9103 0.1043
Tm31 0.6043 0.4103 0.0999
Tm32 0.6043 0.6940 0.5045
Tm33 0.6895 0.0897 0.6940
Tm34 0.6895 0.0999 0.9955
Tm35 0.6940 0.5045 0.6043
Tm36 0.6940 0.6895 0.0897
Tm37 0.8060 0.4103 0.8105
Tm38 0.8060 0.8957 0.9955
Tm39 0.8105 0.5045 0.4001
Tm40 0.8105 0.8060 0.4103
Tm41 0.8957 0.4001 0.0897
Tm42 0.8957 0.9955 0.8060
Tm43 0.9001 0.0045 0.3105
Tm44 0.9001 0.3957 0.5897
Tm45 0.9103 0.1043 0.5999
Tm46 0.9103 0.3060 0.3105
Tm47 0.9955 0.6895 0.0999
Tm48 0.9955 0.8060 0.8957
Pb1 0.1250 0.2500 0.3750
Pb2 0.1250 0.3750 0.7500
Pb3 0.2500 0.3750 0.1250
Pb4 0.2500 0.8750 0.6250
Pb5 0.3750 0.1250 0.2500
Pb6 0.3750 0.7500 0.1250
Pb7 0.6250 0.2500 0.8750
Pb8 0.6250 0.8750 0.7500
Pb9 0.7500 0.1250 0.3750
Pb10 0.7500 0.6250 0.8750
Pb11 0.8750 0.6250 0.2500
Pb12 0.8750 0.7500 0.6250
O1 0.0000 0.0000 0.0000
O2 0.0000 0.0000 0.5000
O3 0.0000 0.5000 0.0000
O4 0.0000 0.5000 0.5000
O5 0.1250 0.7500 0.8750
O6 0.1250 0.8750 0.2500
O7 0.2500 0.1250 0.8750
O8 0.2500 0.6250 0.3750
O9 0.3750 0.2500 0.6250
O10 0.3750 0.6250 0.7500
O11 0.5000 0.0000 0.0000
O12 0.5000 0.0000 0.5000
O13 0.5000 0.5000 0.0000
O14 0.5000 0.5000 0.5000
O15 0.6250 0.3750 0.2500
O16 0.6250 0.7500 0.3750
O17 0.7500 0.3750 0.6250
O18 0.7500 0.8750 0.1250
O19 0.8750 0.1250 0.7500
O20 0.8750 0.2500 0.1250

## Properties
The volume comes out at 23.04 A^3/atom. For the formation energy without anion corrections, the calculation gives -1550 meV per atom. For the total moment, the calculation gives 0.00 μB per atom. Its uncorrected energy is -6.03 eV/atom. The symmetry is Ia-3d, No. 230.